Entry 1:
PmNdCd3: optimized geometry, PBE.

Calculated values
The density of states at the Fermi level comes out at 0.885 states/eV per atom. The mass density comes out at 7.7 g/cm3. The calculation puts the formation energy from the elements at -310 meV per atom. For the energy above the most stable polymorph in this dataset, the calculation gives 0 meV per atom. Its total energy is -2.763 eV/atom.

Structure (POSCAR):
```
PmNdCd3
1.0
1.7553 -15.1356 0.0000
1.7553 15.1356 0.0000
0.0000 0.0000 5.0527
Pm Nd Cd
2 2 6
Cartesian
1.7553 8.6637 3.7896
1.7553 -8.6637 1.2632
1.7553 12.9000 1.2632
1.7553 -12.9000 3.7896
1.7553 5.2604 3.7896
1.7553 3.6426 1.2632
1.7553 0.7143 1.2632
1.7553 -0.7143 3.7896
1.7553 -3.6426 3.7896
1.7553 -5.2604 1.2632
```



Entry 2:
Pm2Nd2Cd: optimized geometry, PBE.

Calculated values
The density of states at the Fermi level comes out at 1.137 states/eV per atom. The mass density comes out at 7.2 g/cm3. The calculation puts the formation energy from the elements at -43 meV per atom. For the energy above the most stable polymorph in this dataset, the calculation gives 74 meV per atom. Its total energy is -4.034 eV/atom.

Structure (POSCAR):
```
Pm2Nd2Cd
1.0
4.3448 -4.7219 0.0000
4.3448 4.7219 0.0000
-3.7031 0.0000 7.8107
Pm Nd Cd
4 4 2
Cartesian
0.7657 2.9575 6.0964
4.2209 2.9575 1.7143
0.7657 -2.9575 6.0964
4.2209 -2.9575 1.7143
-0.4294 0.0000 4.8266
2.6932 0.0000 0.5682
2.2935 0.0000 7.2424
5.4160 0.0000 2.9841
2.4933 1.4826 3.9053
2.4933 -1.4826 3.9053
```